Run A
The following is a PBE calculation of a relaxed EuCdAg2 crystal, from the Alexandria database.

Calculated values
The density of states at the Fermi level comes out at 9.12 states/eV per cell. The value obtained for the magnetization is 7.13 Bohr magnetons per cell. As for the crystal system: cubic.

Geometry as POSCAR:
```
EuCdAg2
1.0
0.0000 3.6093 3.6093
3.6093 0.0000 3.6093
3.6093 3.6093 0.0000
Eu Cd Ag
1 1 2
direct
0.0000 0.0000 0.0000
0.5000 0.5000 0.5000
0.2500 0.2500 0.2500
0.7500 0.7500 0.7500
```


Run B
The following is a PBE calculation of a relaxed EuCdAg2 crystal, from the Alexandria database.

Calculated values
The density of states at the Fermi level comes out at 9.78 states/eV per cell. The value obtained for the magnetization is 7.13 Bohr magnetons per cell. As for the crystal system: tetragonal.

Geometry as POSCAR:
```
EuCdAg2
1.0
3.6258 0.0000 0.0000
0.0000 3.6258 0.0000
0.0000 0.0000 7.1436
Eu Cd Ag
1 1 2
direct
0.0000 0.0000 0.0000
0.0000 0.0000 0.5000
0.5000 0.5000 0.2886
0.5000 0.5000 0.7114
```


Taking the most stable structure as the zero point, the relative energies in meV per atom are run A 0; run B 49.